Record 1
# LaBr2Cl

A PBEsol-optimized structure of LaBr2Cl (meta-GGA SCAN, the Alexandria database).

a = 5.5193 Å, b = 13.7716 Å, c = 4.3759 Å
α = 90.00°, β = 90.00°, γ = 90.00°
Space group Cmmm (No. 65)
Asymmetric unit:
La 0.0000 0.0000 0.0000 [2 per cell]
Br 0.0000 0.1409 0.5000 [4 per cell]
Cl 0.0000 0.5000 0.0000 [2 per cell]

The calculation puts the polymorph energy (0 for the lowest one) at 13 meV/atom. The value obtained for the uncorrected formation energy is -2.288 eV per atom. The value obtained for the theoretical density is 3337 kg/m³. The calculated total energy is -24.789 eV per atom.



Record 2
# La4Br3ClO4

A PBEsol-optimized structure of La4Br3ClO4 (meta-GGA SCAN, the Alexandria database).

a = 4.0961 Å, b = 8.1969 Å, c = 14.4913 Å
α = 90.00°, β = 90.00°, γ = 90.00°
Space group Amm2 (No. 38)
Asymmetric unit:
La 0.0000 0.0000 0.0000 [2 per cell]
La 0.0000 0.0000 0.4976 [2 per cell]
La 0.5000 0.2470 0.6639 [4 per cell]
Br 0.0000 0.0000 0.2646 [2 per cell]
Br 0.5000 0.2431 0.8953 [4 per cell]
Cl 0.0000 0.0000 0.7548 [2 per cell]
O 0.0000 0.2491 0.5807 [4 per cell]
O 0.5000 0.0000 0.0827 [2 per cell]
O 0.5000 0.0000 0.5787 [2 per cell]

The value obtained for the uncorrected formation energy is -3.358 eV per atom. The value obtained for the theoretical density is 6108 kg/m³. The calculated total energy is -25.333 eV per atom.



Record 3
# LaPBrCl2

A PBEsol-optimized structure of LaPBrCl2 (meta-GGA SCAN, the Alexandria database).

a = 4.9485 Å, b = 4.9485 Å, c = 5.2061 Å
α = 90.00°, β = 90.00°, γ = 90.00°
Space group P4/mmm (No. 123)
Asymmetric unit:
La 0.0000 0.0000 0.0000 [1 per cell]
P 0.5000 0.5000 0.0000 [1 per cell]
Br 0.5000 0.5000 0.5000 [1 per cell]
Cl 0.0000 0.5000 0.5000 [2 per cell]

The calculation puts the polymorph energy (0 for the lowest one) at 725 meV/atom. The value obtained for the uncorrected formation energy is -0.268 eV per atom. The value obtained for the theoretical density is 4177 kg/m³. The calculated total energy is -18.051 eV per atom.



Record 4
# LaPBrCl2

A PBEsol-optimized structure of LaPBrCl2 (meta-GGA SCAN, the Alexandria database).

a = 5.3179 Å, b = 5.3179 Å, c = 6.1479 Å
α = 90.00°, β = 90.00°, γ = 90.00°
Space group P4/mmm (No. 123)
Asymmetric unit:
La 0.0000 0.0000 0.0000 [1 per cell]
P 0.0000 0.0000 0.5000 [1 per cell]
Br 0.5000 0.5000 0.5000 [1 per cell]
Cl 0.0000 0.5000 0.0000 [2 per cell]

The calculation puts the polymorph energy (0 for the lowest one) at 0 meV/atom. The value obtained for the uncorrected formation energy is -0.993 eV per atom. The value obtained for the theoretical density is 3063 kg/m³. The calculated total energy is -18.777 eV per atom.